No. 1
Entry from Alexandria via LeMat-Bulk: AcZn2Pd5Pt after structural relaxation (PBE-GGA).

Lattice parameters (Å, degrees): 4.8134 4.8134 7.2214 90.00 90.00 90.00
Space group P4/mmm (No. 123)
One atom of each set of equivalent atoms:
Ac 0.0000 0.0000 0.0000 [1 per cell]
Zn 0.5000 0.5000 0.3387 [2 per cell]
Pd 0.0000 0.5000 0.2917 [4 per cell]
Pd 0.5000 0.5000 0.0000 [1 per cell]
Pt 0.0000 0.0000 0.5000 [1 per cell]

No. 2
Entry from Alexandria via LeMat-Bulk: CeMnNiP2 after structural relaxation (PBE-GGA).

Lattice parameters (Å, degrees): 3.7442 3.7442 10.9258 90.00 90.00 90.00
Space group I-4m2 (No. 119)
One atom of each set of equivalent atoms:
Ce 0.0000 0.0000 0.0000 [2 per cell]
Mn 0.0000 0.5000 0.7500 [2 per cell]
Ni 0.0000 0.5000 0.2500 [2 per cell]
P 0.0000 0.0000 0.3617 [4 per cell]

No. 3
Entry from Alexandria via LeMat-Bulk: Sm2MnP3Ir4 after structural relaxation (PBE-GGA).

Lattice parameters (Å, degrees): 4.0953 4.0953 9.9074 90.00 90.00 90.00
Space group P-4m2 (No. 115)
One atom of each set of equivalent atoms:
Sm 0.0000 0.5000 0.2468 [2 per cell]
Mn 0.5000 0.5000 0.0000 [1 per cell]
P 0.0000 0.0000 0.0000 [1 per cell]
P 0.0000 0.5000 0.6383 [2 per cell]
Ir 0.0000 0.0000 0.5000 [1 per cell]
Ir 0.0000 0.5000 0.8722 [2 per cell]
Ir 0.5000 0.5000 0.5000 [1 per cell]

No. 4
Entry from Alexandria via LeMat-Bulk: YCu2Au after structural relaxation (PBE-GGA).

Lattice parameters (Å, degrees): 4.1525 4.1802 4.2217 90.00 90.00 90.00
Space group Pmmm (No. 47)
One atom of each set of equivalent atoms:
Y 0.0000 0.0000 0.0000 [1 per cell]
Cu 0.0000 0.5000 0.5000 [1 per cell]
Cu 0.5000 0.0000 0.5000 [1 per cell]
Au 0.5000 0.5000 0.0000 [1 per cell]

Going through the records in order, we get final energy values of -4.59, -7.28, -7.91, -4.66 eV/atom.
Going through the records in order, we get D(E_F) values of 3.82, 6.13, 4.52, 2.87 states/eV/f.u..